Entry 1:
The following is a GGA-PBE calculation of a relaxed structure of KAlCo2Rh, from Alexandria.

Cell: 4.8154 4.7232 4.8154 Å, 90.00 90.00 90.00°
With the nearest neighbours (Å) after each atom.
Element x y z (fractional)
1 Co 0.0000 0.0000 0.5000  2 Rh 2.41
2 Co 0.5000 0.0000 0.0000  2 Rh 2.41
3 K 0.5000 0.5000 0.5000  8 Co 3.37, 4 Al 3.40
4 Rh 0.0000 0.0000 0.0000  2 Al 2.36, 4 Co 2.41
5 Al 0.0000 0.5000 0.0000  2 Rh 2.36

As for the energy of formation: 649 meV per atom. The final energy comes out at -4.631 eV/atom. The total moment comes out at 0.894 μB per atom.

=====

Entry 2:
The following is a GGA-PBE calculation of a relaxed structure of InRe2Pb, from Alexandria.

Cell: 3.1034 3.0420 9.8260 Å, 62.39 90.00 90.00°
With the nearest neighbours (Å) after each atom.
Element x y z (fractional)
1 In 0.0000 0.3953 0.4460  4 Re 2.97, 4 In 3.04-3.10
2 Pb 0.5000 0.8717 0.7923  4 Pb 3.04-3.10, 4 Re 3.11-3.12, 2 In 3.39
3 Re 0.0000 0.9897 0.0486  4 Re 2.60
4 Re 0.5000 0.2433 0.2131  4 Re 2.60

As for the energy of formation: 317 meV per atom. As for the energy above the lowest structure with this stoichiometry: 0.0000 eV per atom. The final energy comes out at -7.519 eV/atom. The total moment comes out at 0.000 μB per atom.

=====

Entry 3:
The following is a GGA-PBE calculation of a relaxed structure of Sm3TeAuBr, from Alexandria.

Cell: 4.0038 7.5928 11.8095 Å, 103.11 90.00 90.00°
With the nearest neighbours (Å) after each atom.
Element x y z (fractional)
1 Sm 0.7500 0.0410 0.1441  3 Au 2.99-3.03, 1 Br 3.16, 2 Te 3.27
2 Sm 0.2500 0.9590 0.8559  3 Au 2.99-3.03, 1 Br 3.16, 2 Te 3.27
3 Sm 0.2500 0.7013 0.4987  3 Br 3.03-3.17, 3 Te 3.14-3.17
4 Sm 0.7500 0.2987 0.5013  3 Br 3.03-3.17, 3 Te 3.14-3.17
5 Sm 0.7500 0.5490 0.1640  3 Au 3.00-3.04, 1 Br 3.10, 2 Te 3.24
6 Sm 0.2500 0.4510 0.8360  3 Au 3.00-3.04, 1 Br 3.10, 2 Te 3.24
7 Te 0.2500 0.3368 0.3036  7 Sm 3.14-3.27
8 Te 0.7500 0.6632 0.6964  7 Sm 3.14-3.27
9 Au 0.2500 0.7541 0.0485  6 Sm 2.99-3.04
10 Au 0.7500 0.2459 0.9515  6 Sm 2.99-3.04
11 Br 0.2500 0.1149 0.6296  5 Sm 3.03-3.17
12 Br 0.7500 0.8851 0.3704  5 Sm 3.03-3.17

The value obtained for the energy relative to the elements, uncorrected is -1076 meV/atom. The final energy comes out at -4.784 eV/atom. The total moment comes out at 0.000 μB per atom.

=====

Entry 4:
The following is a GGA-PBE calculation of a relaxed structure of IrPtW4, from Alexandria.

Cell: 5.1984 5.1984 5.1984 Å, 60.00 60.00 60.00°
With the nearest neighbours (Å) after each atom.
Element x y z (fractional)
1 Ir 0.7500 0.7500 0.7500  12 W 3.05, 4 Pt 3.18
2 Pt 0.0000 0.0000 0.0000  12 W 3.05, 4 Ir 3.18
3 W 0.8766 0.3745 0.3745  6 W 2.59-2.61
4 W 0.3745 0.3745 0.8766  6 W 2.59-2.61
5 W 0.3745 0.8766 0.3745  6 W 2.59-2.61
6 W 0.3745 0.3745 0.3745  6 W 2.59-2.61

As for the energy of formation: 385 meV per atom. The final energy comes out at -10.734 eV/atom. The total moment comes out at 0.000 μB per atom.

=====

Entry 5:
The following is a GGA-PBE calculation of a relaxed structure of Tc2NiTe, from Alexandria.

Cell: 4.6854 4.6854 4.6825 Å, 81.56 81.56 37.88°
With the nearest neighbours (Å) after each atom.
Element x y z (fractional)
1 Ni 0.2587 0.2587 0.2329  3 Te 2.58-2.85, 5 Tc 2.62-2.71
2 Tc 0.0006 0.0006 0.0014  3 Tc 2.65-2.69, 3 Ni 2.68-2.71, 4 Te 2.71-2.87
3 Tc 0.7413 0.7413 0.7848  2 Ni 2.62, 3 Tc 2.65-2.69, 3 Te 2.75-2.93
4 Te 0.4994 0.4994 0.4809  3 Ni 2.58-2.85, 5 Tc 2.71-2.87

The value obtained for the energy relative to the elements, uncorrected is 327 meV/atom. The final energy comes out at -7.087 eV/atom. The total moment comes out at 0.000 μB per atom.

=====

Entry 6:
The following is a GGA-PBE calculation of a relaxed structure of YZrI2N, from Alexandria.

Cell: 6.1233 6.1233 4.0311 Å, 90.00 90.00 90.00°
With the nearest neighbours (Å) after each atom.
Element x y z (fractional)
1 I 0.0000 0.5000 0.0000  2 Y 3.06
2 I 0.5000 0.0000 0.0000  2 Y 3.06
3 Y 0.0000 0.0000 0.0000  2 N 2.02
4 Zr 0.5000 0.5000 0.5000  8 I 3.67, 2 Zr 4.03
5 N 0.0000 0.0000 0.5000  2 Y 2.02

As for the energy above the lowest structure with this stoichiometry: 0.4501 eV per atom. The value obtained for the energy relative to the elements, uncorrected is 171 meV/atom. The final energy comes out at -5.117 eV/atom. The total moment comes out at 0.500 μB per atom.